1.
First-principles (GGA-PBE) data for a geometry-optimized Cs2LuI4 structure, as listed in Alexandria.

Properties
- symmetry = No. 139
- ΔE_f (raw) (eV per atom) = -1.277
- E_tot (eV per atom) = -3.05

Cell lengths 10.5210, 10.5210, 10.5210 Å; angles 147.01, 147.01, 47.35 degrees
Last column: nearest neighbours and their distance in Å.
Element x y z (fractional)
Cs: 0.1393 0.1393 0.0000  9 I 3.89-4.24
Cs: 0.8607 0.8607 0.0000  9 I 3.89-4.24
Lu: 0.5000 0.5000 0.0000  6 I 2.99-3.06
I: 0.0000 0.5000 0.5000  2 Lu 2.99
I: 0.3414 0.3414 0.0000  1 Lu 3.06
I: 0.5000 0.0000 0.5000  2 Lu 2.99
I: 0.6586 0.6586 0.0000  1 Lu 3.06



2.
First-principles (GGA-PBE) data for a geometry-optimized AcB4Ru4 structure, as listed in Alexandria.

Properties
- symmetry = No. 86
- E_tot (eV per atom) = -7.97
- calculated formation energy (eV per formula unit) = -3.8

Cell lengths 7.6921, 7.6921, 4.0091 Å; angles 90.00, 90.00, 90.00 degrees
Last column: nearest neighbours and their distance in Å.
Element x y z (fractional)
Ac: 0.2500 0.2500 0.2500  8 B 3.00-3.08, 8 Ru 3.25-3.26
Ac: 0.7500 0.7500 0.7500  8 B 3.00-3.08, 8 Ru 3.25-3.26
B: 0.0372 0.9162 0.1426  1 B 1.82
B: 0.0838 0.5372 0.6426  1 B 1.82
B: 0.4162 0.9628 0.6426  1 B 1.82
B: 0.4628 0.5838 0.1426  1 B 1.82
B: 0.5372 0.4162 0.8574  1 B 1.82
B: 0.5838 0.0372 0.3574  1 B 1.82
B: 0.9162 0.4628 0.3574  1 B 1.82
B: 0.9628 0.0838 0.8574  1 B 1.82
Ru: 0.1058 0.6433 0.1436  4 B 2.16-2.19
Ru: 0.1433 0.8942 0.6436  4 B 2.16-2.19
Ru: 0.3567 0.6058 0.6436  4 B 2.16-2.19
Ru: 0.3942 0.8567 0.1436  4 B 2.16-2.19
Ru: 0.6058 0.1433 0.8564  4 B 2.16-2.19
Ru: 0.6433 0.3942 0.3564  4 B 2.16-2.19
Ru: 0.8567 0.1058 0.3564  4 B 2.16-2.19
Ru: 0.8942 0.3567 0.8564  4 B 2.16-2.19



3.
First-principles (GGA-PBE) data for a geometry-optimized Er7ScCd2 structure, as listed in Alexandria.

Properties
- symmetry = No. 65
- E_tot (eV per atom) = -3.58
- calculated formation energy (eV per formula unit) = 4.3

Cell lengths 9.0203, 9.0203, 5.0332 Å; angles 90.00, 90.00, 121.16 degrees
Last column: nearest neighbours and their distance in Å.
Element x y z (fractional)
Er: 0.0000 0.0000 0.0000  2 Cd 3.06, 4 Er 3.33
Er: 0.2053 0.4311 0.0000  2 Cd 3.10-3.43, 4 Er 3.22-3.40
Er: 0.2839 0.7161 0.5000  2 Cd 2.88
Er: 0.4311 0.2053 0.0000  2 Cd 3.10-3.43, 4 Er 3.22-3.40
Er: 0.5689 0.7947 0.0000  2 Cd 3.10-3.43, 4 Er 3.22-3.40
Er: 0.7161 0.2839 0.5000  2 Cd 2.88
Er: 0.7947 0.5689 0.0000  2 Cd 3.10-3.43, 4 Er 3.22-3.40
Sc: 0.5000 0.5000 0.5000  10 Er 3.40-3.48
Cd: 0.1946 0.8054 0.0000  5 Er 2.88-3.10
Cd: 0.8054 0.1946 0.0000  5 Er 2.88-3.10



4.
First-principles (GGA-PBE) data for a geometry-optimized Ce2Ga2Co3 structure, as listed in Alexandria.

Properties
- symmetry = No. 12
- E_tot (eV per atom) = -5.95
- calculated formation energy (eV per formula unit) = -2.4

Cell lengths 6.4394, 6.4394, 5.6477 Å; angles 92.03, 92.03, 32.88 degrees
Last column: nearest neighbours and their distance in Å.
Element x y z (fractional)
Ce: 0.1300 0.1300 0.1607  4 Co 2.55-2.57
Ce: 0.8700 0.8700 0.8393  4 Co 2.55-2.57
Ga: 0.3857 0.3857 0.3256  4 Co 2.36-2.51
Ga: 0.6143 0.6143 0.6744  4 Co 2.36-2.51
Co: 0.2525 0.2525 0.6441  2 Co 2.44, 3 Ga 2.48-2.51, 2 Ce 2.55
Co: 0.5000 0.5000 0.0000  2 Ga 2.36, 4 Ce 2.57
Co: 0.7475 0.7475 0.3559  2 Co 2.44, 3 Ga 2.48-2.51, 2 Ce 2.55



5.
First-principles (GGA-PBE) data for a geometry-optimized TcP2Pb structure, as listed in Alexandria.

Properties
- symmetry = No. 166
- E_tot (eV per atom) = -6.28
- calculated formation energy (eV per formula unit) = -0.2

Cell lengths 9.0533, 9.0533, 9.0533 Å; angles 19.98, 19.98, 19.98 degrees
Last column: nearest neighbours and their distance in Å.
Element x y z (fractional)
Tc: 0.0000 0.0000 0.0000  6 P 2.45
P: 0.2714 0.2714 0.2714  3 Tc 2.45
P: 0.7286 0.7286 0.7286  3 Tc 2.45
Pb: 0.5000 0.5000 0.5000  6 Pb 3.14, 6 P 3.33



6.
First-principles (GGA-PBE) data for a geometry-optimized Er3TeRh structure, as listed in Alexandria.

Properties
- symmetry = No. 11
- ΔE_f (raw) (eV per atom) = -0.555
- E_tot (eV per atom) = -5.39

Cell lengths 6.7984, 4.6061, 9.7687 Å; angles 90.00, 99.41, 90.00 degrees
Last column: nearest neighbours and their distance in Å.
Element x y z (fractional)
Er: 0.0411 0.2500 0.1949  1 Rh 2.63
Er: 0.2995 0.2500 0.5233  3 Rh 2.69-2.88
Er: 0.4401 0.7500 0.7988  1 Rh 2.78
Er: 0.5599 0.2500 0.2012  1 Rh 2.78
Er: 0.7005 0.7500 0.4767  3 Rh 2.69-2.88
Er: 0.9589 0.7500 0.8051  1 Rh 2.63
Te: 0.2709 0.7500 0.0765  6 Er 3.11-3.14
Te: 0.7291 0.2500 0.9235  6 Er 3.11-3.14
Rh: 0.1233 0.7500 0.5791  5 Er 2.63-2.88
Rh: 0.8767 0.2500 0.4209  5 Er 2.63-2.88



7.
First-principles (GGA-PBE) data for a geometry-optimized ZnInIrPd structure, as listed in Alexandria.

Properties
- symmetry = No. 47
- E_tot (eV per atom) = -4.81
- calculated formation energy (eV per formula unit) = -1.2

Cell lengths 3.5350, 4.2355, 4.2516 Å; angles 90.00, 90.00, 90.00 degrees
Last column: nearest neighbours and their distance in Å.
Element x y z (fractional)
Zn: 0.0000 0.0000 0.0000  4 Ir 2.76, 4 Pd 2.76, 4 In 3.00
In: 0.0000 0.5000 0.5000  4 Pd 2.76, 4 Ir 2.76, 4 Zn 3.00
Ir: 0.5000 0.5000 0.0000  4 Zn 2.76, 4 In 2.76, 4 Pd 3.00
Pd: 0.5000 0.0000 0.5000  4 In 2.76, 4 Zn 2.76, 4 Ir 3.00



8.
First-principles (GGA-PBE) data for a geometry-optimized TbPm2ZrN4 structure, as listed in Alexandria.

Properties
- symmetry = No. 10
- ΔE_f (raw) (eV per atom) = -1.575
- E_tot (eV per atom) = -8.57

Cell lengths 6.0197, 3.4696, 6.0548 Å; angles 90.00, 109.13, 90.00 degrees
Last column: nearest neighbours and their distance in Å.
Element x y z (fractional)
Tb: 0.0000 0.0000 0.0000  6 N 2.44
Pm: 0.0000 0.5000 0.5000  6 N 2.57-2.58
Pm: 0.5000 0.0000 0.5000  6 N 2.49-2.50
Zr: 0.5000 0.5000 0.0000  6 N 2.34-2.36
N: 0.2569 0.5000 0.2321  1 Zr 2.34, 2 Tb 2.44, 3 Pm 2.50-2.58
N: 0.2677 0.0000 0.7731  2 Zr 2.36, 1 Tb 2.44, 3 Pm 2.49-2.57
N: 0.7323 0.0000 0.2269  2 Zr 2.36, 1 Tb 2.44, 3 Pm 2.49-2.57
N: 0.7431 0.5000 0.7679  1 Zr 2.34, 2 Tb 2.44, 3 Pm 2.50-2.58